LaWI2 | PBE | relaxed

Calculated values
total moment	0.00	μB per formula unit
electronic total energy	-73.82	eV for the cell shown
theoretical density	9.2	g cm⁻³
D(E_F)	19.7	states/eV/cell
energy relative to the elements, uncorrected	0.63	eV per atom

CIF file:
```
data_LaWI2
_space_group_name_H-M_alt 'F m -3 m'
_space_group_IT_number 225
_space_group_name_Hall '-F 4 2 3'
_cell_length_a 7.4595
_cell_length_b 7.4595
_cell_length_c 7.4595
_cell_angle_alpha 90.00
_cell_angle_beta 90.00
_cell_angle_gamma 90.00
loop_
_atom_site_label
_atom_site_type_symbol
_atom_site_fract_x
_atom_site_fract_y
_atom_site_fract_z
La1 La 0.0000 0.0000 0.0000
W1 W 0.0000 0.0000 0.5000
I1 I 0.2500 0.2500 0.2500
```